(1)
The following is a GGA-PBE calculation of a relaxed structure of Sr2HoMoN4, from Alexandria via LeMat-Bulk.

Cell lengths 7.6244, 6.9837, 5.6023 Å; angles 90.00, 90.00, 90.00 degrees
Last column: nearest neighbours and their distance in Å.
Fractional positions:
Sr 0.2467 0.1622 0.0000  4 N 2.48-2.67
Sr 0.2533 0.8378 0.5000  4 N 2.48-2.67
Sr 0.7467 0.8378 0.5000  4 N 2.48-2.67
Sr 0.7533 0.1622 0.0000  4 N 2.48-2.67
Ho 0.0000 0.6576 0.0146  4 N 2.18-2.37
Ho 0.5000 0.3424 0.5146  4 N 2.18-2.37
Mo 0.0000 0.3492 0.5350  4 N 1.87-1.91
Mo 0.5000 0.6508 0.0350  4 N 1.87-1.91
N 0.0000 0.3684 0.8676  1 Mo 1.87
N 0.0000 0.6051 0.4140  1 Mo 1.91
N 0.2130 0.2168 0.4644  1 Mo 1.91
N 0.2870 0.7832 0.9644  1 Mo 1.91
N 0.5000 0.3949 0.9140  1 Mo 1.91
N 0.5000 0.6316 0.3676  1 Mo 1.87
N 0.7130 0.7832 0.9644  1 Mo 1.91
N 0.7870 0.2168 0.4644  1 Mo 1.91

Summary:
**Total moment**: 0.99 μB/f.u.
**SG**: Pmn2_1, No. 31
**Final energy**: -7.4461 eV per atom
**Formation energy without anion corrections**: -0.94 eV/atom

***

(2)
The following is a GGA-PBE calculation of a relaxed structure of YHoMo2N6, from Alexandria via LeMat-Bulk.

Cell lengths 7.3656, 7.3656, 6.2936 Å; angles 106.93, 106.93, 81.10 degrees
Last column: nearest neighbours and their distance in Å.
Fractional positions:
Y 0.0886 0.9114 0.7500  6 N 2.31-2.46
Y 0.9114 0.0886 0.2500  6 N 2.31-2.46
Ho 0.2907 0.7093 0.2500  6 N 2.33-2.47
Ho 0.7093 0.2907 0.7500  6 N 2.33-2.47
Mo 0.2004 0.3798 0.7779  4 N 1.78-1.95
Mo 0.3798 0.2004 0.2779  4 N 1.78-1.95
Mo 0.6202 0.7996 0.7221  4 N 1.78-1.95
Mo 0.7996 0.6202 0.2221  4 N 1.78-1.95
N 0.9997 0.2202 0.6562  1 Mo 1.87
N 0.0003 0.7798 0.3438  1 Mo 1.87
N 0.1152 0.6243 0.8397  1 Mo 1.78
N 0.2202 0.9997 0.1562  1 Mo 1.87
N 0.3410 0.3693 0.0772  2 Mo 1.88-1.95
N 0.3693 0.3410 0.5772  2 Mo 1.88-1.95
N 0.3757 0.8848 0.6603  1 Mo 1.78
N 0.6243 0.1152 0.3397  1 Mo 1.78
N 0.6307 0.6590 0.4228  2 Mo 1.88-1.95
N 0.6590 0.6307 0.9228  2 Mo 1.88-1.95
N 0.7798 0.0003 0.8438  1 Mo 1.87
N 0.8848 0.3757 0.1603  1 Mo 1.78

Summary:
**Total moment**: 0.00 μB/f.u.
**SG**: C2/c, No. 15
**Final energy**: -9.1670 eV per atom
**Formation energy without anion corrections**: -0.90 eV/atom